Record 1
This record from Alexandria via LeMat-Bulk describes a geometry-optimized LiFeB2 structure. The functional is GGA-PBE.

```
LiFeB2
1.0
-0.300 2.265 -2.516
-3.383 -0.113 0.302
-1.592 6.440 3.691
B Li Fe
4 2 2
direct
0.375 0.125 0.750
0.875 0.125 0.750
0.875 0.125 0.250
0.875 0.625 0.250
0.500 0.500 0.000
0.250 0.750 0.500
0.000 0.000 0.000
0.750 0.250 0.500
```

Calculated values
* ΔH_f (0 K): 326 meV/atom
* energy above the most stable polymorph in this dataset: 82 meV per atom

Record 2
This record from Alexandria via LeMat-Bulk describes a geometry-optimized NaYEr2Te4 structure. The functional is GGA-PBE.

```
NaYEr2Te4
1.0
-0.954 0.434 -4.202
-4.281 -6.276 0.323
-4.345 6.024 1.609
Er Te Na Y
2 4 1 1
direct
0.000 0.500 0.500
0.500 0.000 0.500
0.000 0.752 0.254
0.000 0.248 0.746
0.500 0.253 0.256
0.500 0.747 0.744
0.000 0.000 0.000
0.500 0.500 0.000
```

Calculated values
* formation energy from raw total energies: -1.284 eV/atom